# ThZrBi2 PBE relaxed
# crystal system: cubic
# polymorph energy (0 for the lowest one): 17 meV/atom
data_ThZrBi2
_cell_length_a 7.6318
_cell_length_b 7.6318
_cell_length_c 7.6318
_cell_angle_alpha 90.00
_cell_angle_beta 90.00
_cell_angle_gamma 90.00
_symmetry_space_group_name_H-M 'F m -3 m'
_symmetry_Int_Tables_number 225
_symmetry_space_group_name_Hall '-F 4 2 3'
loop_
_atom_site_label
_atom_site_type_symbol
_atom_site_fract_x
_atom_site_fract_y
_atom_site_fract_z
Th1 Th 0.0000 0.0000 0.0000
Zr1 Zr 0.0000 0.0000 0.5000
Bi1 Bi 0.2500 0.2500 0.2500


# ThZrBi2 PBE relaxed
# crystal system: tetragonal
# polymorph energy (0 for the lowest one): 7 meV/atom
data_ThZrBi2
_cell_length_a 3.7603
_cell_length_b 3.7603
_cell_length_c 7.7995
_cell_angle_alpha 90.00
_cell_angle_beta 90.00
_cell_angle_gamma 90.00
_symmetry_space_group_name_H-M 'P 4/m m m'
_symmetry_Int_Tables_number 123
_symmetry_space_group_name_Hall '-P 4 2'
loop_
_atom_site_label
_atom_site_type_symbol
_atom_site_fract_x
_atom_site_fract_y
_atom_site_fract_z
Th1 Th 0.0000 0.0000 0.0000
Zr1 Zr 0.0000 0.0000 0.5000
Bi1 Bi 0.5000 0.5000 0.2746


Number 1: E -6.28 eV/atom. Number 2: E -6.29 eV/atom.